[1]
Entry from Alexandria: crystalline CdIn2Tc at its relaxed geometry (GGA-PBE).

a = 6.052 Å, b = 8.325 Å, c = 3.160 Å
α = 90.00°, β = 90.00°, γ = 90.00°
Positions (direct):
Cd 0.000 0.000 0.000
Cd 0.500 0.500 0.000
In 0.250 0.250 0.500
In 0.250 0.750 0.500
In 0.750 0.250 0.500
In 0.750 0.750 0.500
Tc 0.000 0.500 0.000
Tc 0.500 0.000 0.000

- E_tot (eV/atom) = -3.847
- crystal system = orthorhombic
- M_tot (μB/f.u.) = 1.2

***

[2]
Entry from Alexandria: crystalline YHfAu at its relaxed geometry (GGA-PBE).

a = 11.871 Å, b = 4.755 Å, c = 5.051 Å
α = 90.00°, β = 95.13°, γ = 90.00°
Positions (direct):
Y 0.101 0.000 0.272
Y 0.399 0.500 0.728
Y 0.601 0.500 0.272
Y 0.899 0.000 0.728
Hf 0.085 0.500 0.772
Hf 0.415 0.000 0.228
Hf 0.585 0.000 0.772
Hf 0.915 0.500 0.228
Au 0.229 0.000 0.800
Au 0.271 0.500 0.200
Au 0.729 0.500 0.800
Au 0.771 0.000 0.200

- E_tot (eV/atom) = -6.925
- crystal system = monoclinic
- M_tot (μB/f.u.) = 0.0

***

[3]
Entry from Alexandria: crystalline Cd2Sn4Pb5 at its relaxed geometry (GGA-PBE).

a = 13.031 Å, b = 13.031 Å, c = 13.031 Å
α = 158.74°, β = 147.70°, γ = 39.00°
Positions (direct):
Cd 0.085 0.085 0.000
Cd 0.915 0.915 0.000
Sn 0.293 0.293 0.000
Sn 0.295 0.000 0.295
Sn 0.705 0.000 0.705
Sn 0.707 0.707 0.000
Pb 0.000 0.500 0.500
Pb 0.056 0.814 0.241
Pb 0.427 0.186 0.241
Pb 0.573 0.814 0.759
Pb 0.944 0.186 0.759

- E_tot (eV/atom) = -3.065
- crystal system = orthorhombic
- M_tot (μB/f.u.) = 0.0

***

[4]
Entry from Alexandria: crystalline Fe2CuBr6 at its relaxed geometry (GGA-PBE).

a = 9.931 Å, b = 9.931 Å, c = 6.677 Å
α = 106.05°, β = 106.05°, γ = 91.94°
Positions (direct):
Fe 0.138 0.303 0.348
Fe 0.303 0.138 0.848
Fe 0.697 0.862 0.152
Fe 0.862 0.697 0.652
Cu 0.290 0.710 0.750
Cu 0.710 0.290 0.250
Br 0.088 0.681 0.880
Br 0.103 0.242 0.664
Br 0.242 0.103 0.164
Br 0.296 0.510 0.439
Br 0.319 0.912 0.620
Br 0.490 0.704 0.061
Br 0.510 0.296 0.939
Br 0.681 0.088 0.380
Br 0.704 0.490 0.561
Br 0.758 0.897 0.836
Br 0.897 0.758 0.336
Br 0.912 0.319 0.120

- E_tot (eV/atom) = -3.877
- energy relative to the elements, uncorrected (eV/atom) = -0.426
- crystal system = monoclinic
- M_tot (μB/f.u.) = 9.0

***

[5]
Entry from Alexandria: crystalline La2SmSi at its relaxed geometry (GGA-PBE).

a = 4.763 Å, b = 4.763 Å, c = 4.905 Å
α = 90.00°, β = 90.00°, γ = 90.00°
Positions (direct):
La 0.000 0.500 0.000
La 0.500 0.000 0.000
Sm 0.000 0.000 0.500
Si 0.500 0.500 0.500

- E_tot (eV/atom) = -5.276
- energy relative to the elements, uncorrected (eV/atom) = -0.277
- crystal system = tetragonal
- M_tot (μB/f.u.) = 0.0

***

[6]
Entry from Alexandria: crystalline YPbBr at its relaxed geometry (GGA-PBE).

a = 16.376 Å, b = 3.835 Å, c = 5.977 Å
α = 90.00°, β = 96.11°, γ = 90.00°
Positions (direct):
Y 0.123 0.000 0.426
Y 0.377 0.500 0.574
Y 0.623 0.500 0.426
Y 0.877 0.000 0.574
Pb 0.038 0.500 0.768
Pb 0.462 0.000 0.232
Pb 0.538 0.000 0.768
Pb 0.962 0.500 0.232
Br 0.229 0.500 0.241
Br 0.271 0.000 0.759
Br 0.729 0.000 0.241
Br 0.771 0.500 0.759

- E_tot (eV/atom) = -4.855
- energy relative to the elements, uncorrected (eV/atom) = -0.906
- crystal system = monoclinic
- M_tot (μB/f.u.) = 0.0

***

[7]
Entry from Alexandria: crystalline KNa2AcCl6 at its relaxed geometry (GGA-PBE).

a = 7.874 Å, b = 7.874 Å, c = 7.874 Å
α = 56.07°, β = 56.07°, γ = 56.07°
Positions (direct):
K 0.000 0.000 0.000
Na 0.287 0.287 0.287
Na 0.795 0.795 0.795
Ac 0.490 0.490 0.490
Cl 0.081 0.652 0.438
Cl 0.192 0.567 0.897
Cl 0.438 0.081 0.652
Cl 0.567 0.897 0.192
Cl 0.652 0.438 0.081
Cl 0.897 0.192 0.567

- E_tot (eV/atom) = -3.975
- energy relative to the elements, uncorrected (eV/atom) = -2.083
- crystal system = trigonal
- M_tot (μB/f.u.) = 0.0

***

[8]
Entry from Alexandria: crystalline Zn2MoBr at its relaxed geometry (GGA-PBE).

a = 10.771 Å, b = 2.952 Å, c = 4.505 Å
α = 90.00°, β = 100.85°, γ = 90.00°
Positions (direct):
Zn 0.227 0.000 0.224
Zn 0.273 0.500 0.776
Zn 0.727 0.500 0.224
Zn 0.773 0.000 0.776
Mo 0.000 0.500 0.000
Mo 0.500 0.000 0.000
Br 0.000 0.000 0.500
Br 0.500 0.500 0.500

- E_tot (eV/atom) = -3.206
- energy relative to the elements, uncorrected (eV/atom) = 0.557
- crystal system = monoclinic
- M_tot (μB/f.u.) = 0.0

***

[9]
Entry from Alexandria: crystalline LiMgAgPb at its relaxed geometry (GGA-PBE).

a = 6.893 Å, b = 6.893 Å, c = 6.893 Å
α = 90.00°, β = 90.00°, γ = 90.00°
Positions (direct):
Li 0.000 0.000 0.000
Li 0.000 0.500 0.500
Li 0.500 0.000 0.500
Li 0.500 0.500 0.000
Mg 0.000 0.000 0.500
Mg 0.000 0.500 0.000
Mg 0.500 0.000 0.000
Mg 0.500 0.500 0.500
Ag 0.250 0.250 0.250
Ag 0.250 0.750 0.750
Ag 0.750 0.250 0.750
Ag 0.750 0.750 0.250
Pb 0.250 0.250 0.750
Pb 0.250 0.750 0.250
Pb 0.750 0.250 0.250
Pb 0.750 0.750 0.750

- E_tot (eV/atom) = -2.690
- crystal system = cubic
- M_tot (μB/f.u.) = 0.0

***

[10]
Entry from Alexandria: crystalline MnGePCN at its relaxed geometry (GGA-PBE).

a = 8.990 Å, b = 2.896 Å, c = 4.592 Å
α = 90.00°, β = 110.13°, γ = 90.00°
Positions (direct):
Mn 0.000 0.000 0.000
Mn 0.500 0.500 0.000
Ge 0.101 0.500 0.684
Ge 0.601 0.000 0.684
P 0.273 0.000 0.335
P 0.773 0.500 0.335
C 0.301 0.500 0.592
C 0.801 0.000 0.592
N 0.442 0.000 0.241
N 0.942 0.500 0.241

- E_tot (eV/atom) = -7.255
- energy relative to the elements, uncorrected (eV/atom) = 0.094
- crystal system = monoclinic
- M_tot (μB/f.u.) = 1.9

***

[11]
Entry from Alexandria: crystalline Pu2Np3PaP6 at its relaxed geometry (GGA-PBE).

a = 6.876 Å, b = 6.876 Å, c = 6.891 Å
α = 99.64°, β = 99.64°, γ = 119.92°
Positions (direct):
Pu 0.166 0.834 0.000
Pu 0.834 0.166 0.000
Np 0.000 0.000 0.500
Np 0.334 0.666 0.500
Np 0.666 0.334 0.500
Pa 0.500 0.500 0.000
P 0.084 0.417 0.748
P 0.254 0.254 0.251
P 0.417 0.084 0.748
P 0.583 0.916 0.252
P 0.746 0.746 0.749
P 0.916 0.583 0.252

- E_tot (eV/atom) = -10.141
- crystal system = monoclinic
- M_tot (μB/f.u.) = 14.0

***

[12]
Entry from Alexandria: crystalline Ce4Ge8Os at its relaxed geometry (GGA-PBE).

a = 4.104 Å, b = 4.216 Å, c = 16.379 Å
α = 90.00°, β = 90.00°, γ = 90.00°
Positions (direct):
Ce 0.000 0.000 0.000
Ce 0.000 0.500 0.488
Ce 0.500 0.000 0.781
Ce 0.500 0.500 0.281
Ge 0.000 0.000 0.331
Ge 0.000 0.000 0.620
Ge 0.000 0.500 0.140
Ge 0.000 0.500 0.852
Ge 0.500 0.000 0.142
Ge 0.500 0.000 0.434
Ge 0.500 0.500 0.619
Ge 0.500 0.500 0.949
Os 0.000 0.500 0.704

- E_tot (eV/atom) = -6.073
- crystal system = orthorhombic
- M_tot (μB/f.u.) = 0.2

***

Repeat the fourth record exactly.
Entry from Alexandria: crystalline Fe2CuBr6 at its relaxed geometry (GGA-PBE).

a = 9.931 Å, b = 9.931 Å, c = 6.677 Å
α = 106.05°, β = 106.05°, γ = 91.94°
Positions (direct):
Fe 0.138 0.303 0.348
Fe 0.303 0.138 0.848
Fe 0.697 0.862 0.152
Fe 0.862 0.697 0.652
Cu 0.290 0.710 0.750
Cu 0.710 0.290 0.250
Br 0.088 0.681 0.880
Br 0.103 0.242 0.664
Br 0.242 0.103 0.164
Br 0.296 0.510 0.439
Br 0.319 0.912 0.620
Br 0.490 0.704 0.061
Br 0.510 0.296 0.939
Br 0.681 0.088 0.380
Br 0.704 0.490 0.561
Br 0.758 0.897 0.836
Br 0.897 0.758 0.336
Br 0.912 0.319 0.120

- E_tot (eV/atom) = -3.877
- energy relative to the elements, uncorrected (eV/atom) = -0.426
- crystal system = monoclinic
- M_tot (μB/f.u.) = 9.0

***

The highest M_tot belongs to which entry? Pu2Np3PaP6